FeCoBr2 | PBE-GGA | relaxed

The value obtained for the formation energy without anion corrections is 0.670 eV/atom. For the size of the total moment, the calculation gives 1.253 μB/atom. The polymorph energy (0 for the lowest one) is 688.6 meV/atom.

The structure belongs to space group P4/mmm (No. 123); the cell edges are 4.600, 4.600 and 3.262 Å and the angles 90.00°, 90.00° and 90.00°. The asymmetric unit holds Fe at (0.000, 0.000, 0.000), Co at (0.500, 0.500, 0.000) and Br at (0.000, 0.500, 0.500).